# YEr2Au | Alexandria | PBE-GGA | relaxed
# **Uncorrected energy**: -5.1787 eV per atom
# **N(E_F)**: 0.995 states/eV per atom
# **Calculated density**: 9.24 Mg/m³
data_YEr2Au
_symmetry_space_group_name_H-M 'P 1'
_symmetry_Int_Tables_number 1
_cell_length_a 6.630
_cell_length_b 6.946
_cell_length_c 9.684
_cell_angle_alpha 90.00
_cell_angle_beta 90.00
_cell_angle_gamma 90.00
loop_
_symmetry_equiv_pos_as_xyz
'x,y,z'
loop_
_atom_site_label
_atom_site_type_symbol
_atom_site_fract_x
_atom_site_fract_y
_atom_site_fract_z
Y1 Y 0.884 0.011 0.250
Y2 Y 0.384 0.489 0.750
Y3 Y 0.116 0.989 0.750
Er1 Er 0.694 0.804 0.945
Y4 Y 0.616 0.511 0.250
Er2 Er 0.194 0.696 0.055
Au1 Au 0.956 0.587 0.750
Er3 Er 0.806 0.304 0.555
Er4 Er 0.306 0.196 0.055
Er5 Er 0.694 0.804 0.555
Au2 Au 0.456 0.913 0.250
Er6 Er 0.806 0.304 0.945
Au3 Au 0.044 0.413 0.250
Er7 Er 0.194 0.696 0.445
Au4 Au 0.544 0.087 0.750
Er8 Er 0.306 0.196 0.445

# YEr3Au2 | Alexandria | PBE-GGA | relaxed
# **Uncorrected energy**: -4.9214 eV per atom
# **N(E_F)**: 1.322 states/eV per atom
# **Calculated density**: 9.35 Mg/m³
data_YEr3Au2
_symmetry_space_group_name_H-M 'P 1'
_symmetry_Int_Tables_number 1
_cell_length_a 7.005
_cell_length_b 7.235
_cell_length_c 8.542
_cell_angle_alpha 115.05
_cell_angle_beta 114.21
_cell_angle_gamma 90.00
loop_
_symmetry_equiv_pos_as_xyz
'x,y,z'
loop_
_atom_site_label
_atom_site_type_symbol
_atom_site_fract_x
_atom_site_fract_y
_atom_site_fract_z
Au1 Au 0.562 0.358 0.716
Au2 Au 0.438 0.642 0.284
Au3 Au 0.847 0.142 0.284
Y1 Y 0.000 0.500 0.000
Er1 Er 0.766 0.516 0.533
Er2 Er 0.234 0.984 0.467
Er3 Er 0.500 0.250 0.000
Er4 Er 0.234 0.484 0.467
Au4 Au 0.153 0.858 0.716
Er5 Er 0.500 0.750 0.000
Y2 Y 0.000 0.000 0.000
Er6 Er 0.766 0.016 0.533

# YErAu2 | Alexandria | PBE-GGA | relaxed
# **Uncorrected energy**: -5.2656 eV per atom
# **N(E_F)**: 0.599 states/eV per atom
# **Calculated density**: 11.69 Mg/m³
data_YErAu2
_symmetry_space_group_name_H-M 'P 1'
_symmetry_Int_Tables_number 1
_cell_length_a 3.572
_cell_length_b 3.572
_cell_length_c 7.238
_cell_angle_alpha 90.00
_cell_angle_beta 90.00
_cell_angle_gamma 90.00
loop_
_symmetry_equiv_pos_as_xyz
'x,y,z'
loop_
_atom_site_label
_atom_site_type_symbol
_atom_site_fract_x
_atom_site_fract_y
_atom_site_fract_z
Au1 Au 0.000 0.000 0.759
Er1 Er 0.500 0.500 0.000
Au2 Au 0.000 0.000 0.241
Y1 Y 0.500 0.500 0.500

# Y3Er3Au4 | Alexandria | PBE-GGA | relaxed
# **Uncorrected energy**: -5.3287 eV per atom
# **N(E_F)**: 1.475 states/eV per atom
# **Calculated density**: 10.26 Mg/m³
data_Y3Er3Au4
_symmetry_space_group_name_H-M 'P 1'
_symmetry_Int_Tables_number 1
_cell_length_a 3.819
_cell_length_b 8.122
_cell_length_c 8.122
_cell_angle_alpha 89.35
_cell_angle_beta 90.00
_cell_angle_gamma 90.00
loop_
_symmetry_equiv_pos_as_xyz
'x,y,z'
loop_
_atom_site_label
_atom_site_type_symbol
_atom_site_fract_x
_atom_site_fract_y
_atom_site_fract_z
Y1 Y 0.500 0.662 0.663
Au1 Au 0.000 0.136 0.131
Er1 Er 0.500 0.162 0.838
Er2 Er 0.000 0.499 0.000
Y2 Y 0.500 0.337 0.338
Y3 Y 0.500 0.838 0.162
Er3 Er 0.000 0.000 0.501
Au2 Au 0.000 0.634 0.366
Au3 Au 0.000 0.363 0.637
Au4 Au 0.000 0.869 0.864